1.
First-principles (GGA-PBE) data for a relaxed structure of Ni2WBr, as listed in the Alexandria database.

extended XYZ file:
```
4
Lattice="0.0000 3.0902 3.0902 3.0902 0.0000 3.0902 3.0902 3.0902 0.0000" Properties=species:S:1:pos:R:3 pbc="T T T"
Ni 1.5451 1.5451 1.5451
Ni 4.6354 4.6354 4.6354
W 0.0000 0.0000 0.0000
Br 3.0902 3.0902 3.0902
```

Magnetic moment, Bohr magnetons per cell: 0.00
Fermi-level density of states, states/eV/cell: 3.78
DFT total energy, eV/atom: -5.461
E above lowest polymorph, meV per atom: 733
ΔE_f (raw), kJ/mol of formula units: 419



2.
First-principles (GGA-PBE) data for a relaxed structure of Pu2ScUAs4, as listed in the Alexandria database.

extended XYZ file:
```
8
Lattice="7.0047 0.0000 0.0000 0.0000 4.0569 0.0000 -2.3274 0.0000 6.6595" Properties=species:S:1:pos:R:3 pbc="T T T"
Pu 0.0000 0.0000 0.0000
Pu -1.1637 2.0284 3.3297
Sc 2.3387 0.0000 3.3297
U 3.5024 2.0284 0.0000
As 0.0831 0.0000 4.9751
As 1.2439 2.0284 1.7122
As 3.4334 2.0284 4.9473
As 4.5942 0.0000 1.6844
```

Magnetic moment, Bohr magnetons per cell: 1.82
Fermi-level density of states, states/eV/cell: 26.38
DFT total energy, eV/atom: -9.125



3.
First-principles (GGA-PBE) data for a relaxed structure of CaBe3Al, as listed in the Alexandria database.

extended XYZ file:
```
5
Lattice="5.0583 0.0000 0.0000 0.0000 5.0583 0.0000 0.0000 0.0000 5.0583" Properties=species:S:1:pos:R:3 pbc="T T T"
Ca 0.0000 0.0000 0.0000
Be 0.0000 0.0000 2.5292
Be 0.0000 2.5292 0.0000
Be 2.5292 0.0000 0.0000
Al 2.5292 2.5292 2.5292
```

Magnetic moment, Bohr magnetons per cell: 0.00
Fermi-level density of states, states/eV/cell: 4.50
DFT total energy, eV/atom: -1.355
E above lowest polymorph, meV per atom: 1405